{"formula": "RbNiOsN2", "functional": "PBE-GGA", "state": "optimized geometry", "e_tot_ev_per_atom": -6.19, "space_group": "P4/mmm (123)", "lattice": [[-0.109, -2.455, 3.031], [4.833, 0.751, 0.783], [-0.847, 2.974, 2.379]], "species": ["N", "N", "Rb", "Ni", "Os"], "frac_coords": [[0.500, 0.000, 0.000], [0.000, 0.000, 0.500], [0.500, 0.500, 0.500], [0.000, 0.500, 0.000], [0.000, 0.000, 0.000]]}